Density functional theory data (GGA-PBE) for a relaxed K2Er crystal.

Properties
E = -18.7 eV per cell
crystal system = hexagonal
spin magnetization = 3.796 μB/cell

Lattice parameters (Å, degrees): 7.7986 7.7986 11.0555 90.00 90.00 120.00
Space group P6_3/mmc (No. 194)
Symmetry-distinct sites (fractional):
1 K 0.0000 0.0000 0.0000 x2
2 K 0.1792 0.3584 0.2500 x6
3 Er 0.3333 0.6667 0.5949 x4